CrHg2F | GGA+U | relaxed

Calculated volume in Å³/atom: 20.65
Total moment in μB/cell: 19.5
ΔE to the lowest computed polymorph in kJ/mol of atoms: 0.0

Cell lengths 7.4965, 7.4965, 5.8782 Å; angles 90.00, 90.00, 90.00 degrees
Last column: nearest neighbours and their distance in Å.
Space group I-42d (No. 122)
Inequivalent atoms, fractional coordinates:
Cr1 0.0000 0.0000 0.0000 (multiplicity 4)  4 Hg 2.86, 2 F 2.94
Hg1 0.2289 0.2500 0.6250 (multiplicity 8)  2 F 2.64, 2 Cr 2.86, 2 Hg 2.96
F1 0.0000 0.0000 0.5000 (multiplicity 4)  4 Hg 2.64, 2 Cr 2.94